Compound: CaMo2Br
Source: Alexandria via LeMat-Bulk
Functional: PBE
Structure: optimized geometry

Lattice parameters (Å, degrees): 12.915 12.915 12.915 163.03 163.03 24.09
Positions (direct):
Ca 0.000 0.000 0.000
Ca 0.750 0.250 0.500
Mo 0.081 0.125 0.456
Mo 0.375 0.919 0.044
Mo 0.669 0.625 0.544
Mo 0.875 0.331 0.956
Br 0.250 0.750 0.500
Br 0.500 0.500 0.000

Output
Polymorph energy (0 for the lowest one) ... 1.885 eV per formula unit
Total magnetic moment ... 0.0 μB/f.u.
Uncorrected formation energy ... 11.15 kcal/mol of atoms

Compound: AcTl2Te2Pd7
Source: Alexandria via LeMat-Bulk
Functional: PBE
Structure: optimized geometry

Lattice parameters (Å, degrees): 4.230 4.230 15.438 94.59 94.59 89.72
Positions (direct):
Ac 0.000 0.000 0.000
Tl 0.112 0.112 0.410
Tl 0.888 0.888 0.590
Te 0.425 0.425 0.751
Te 0.575 0.575 0.249
Pd 0.044 0.543 0.144
Pd 0.407 0.407 0.579
Pd 0.457 0.956 0.856
Pd 0.500 0.500 0.000
Pd 0.543 0.044 0.144
Pd 0.593 0.593 0.421
Pd 0.956 0.457 0.856

Output
Total magnetic moment ... 0.0 μB/f.u.
Uncorrected formation energy ... -8.30 kcal/mol of atoms

Compound: Ba2BeAu2
Source: Alexandria via LeMat-Bulk
Functional: PBE
Structure: optimized geometry

Lattice parameters (Å, degrees): 8.100 8.100 4.627 90.00 90.00 90.00
Positions (direct):
Ba 0.177 0.323 0.000
Ba 0.323 0.823 0.000
Ba 0.677 0.177 0.000
Ba 0.823 0.677 0.000
Be 0.000 0.000 0.500
Be 0.500 0.500 0.500
Au 0.130 0.630 0.500
Au 0.370 0.130 0.500
Au 0.630 0.870 0.500
Au 0.870 0.370 0.500

Output
Final energy ... -2.997 eV per atom
Total magnetic moment ... 0.0 μB/f.u.

Compound: MgCrPd
Source: Alexandria via LeMat-Bulk
Functional: PBE
Structure: optimized geometry

Lattice parameters (Å, degrees): 2.908 7.433 7.433 145.06 90.00 90.00
Positions (direct):
Mg 0.000 0.181 0.819
Mg 0.000 0.819 0.181
Cr 0.000 0.300 0.300
Cr 0.500 0.947 0.947
Pd 0.500 0.361 0.648
Pd 0.500 0.648 0.361

Output
Final energy ... -5.577 eV per atom
Total magnetic moment ... 0.0 μB/f.u.

Compound: Pu5ThPt6
Source: Alexandria via LeMat-Bulk
Functional: PBE
Structure: optimized geometry

Lattice parameters (Å, degrees): 8.674 8.674 8.674 146.56 131.90 59.85
Positions (direct):
Pu 0.000 0.000 0.000
Pu 0.165 0.665 0.500
Pu 0.327 0.327 0.000
Pu 0.673 0.673 0.000
Pu 0.835 0.335 0.500
Th 0.500 0.000 0.500
Pt 0.088 0.835 0.253
Pt 0.254 0.500 0.754
Pt 0.418 0.165 0.253
Pt 0.582 0.835 0.747
Pt 0.746 0.500 0.246
Pt 0.912 0.165 0.747

Output
Final energy ... -10.368 eV per atom
Total magnetic moment ... 5.6 μB/f.u.

Compound: YCrHg4
Source: Alexandria via LeMat-Bulk
Functional: PBE
Structure: optimized geometry

Lattice parameters (Å, degrees): 5.828 5.828 5.828 60.00 60.00 60.00
Positions (direct):
Y 0.000 0.000 0.000
Cr 0.750 0.750 0.750
Hg 0.375 0.375 0.375
Hg 0.375 0.375 0.875
Hg 0.375 0.875 0.375
Hg 0.875 0.375 0.375

Output
Final energy ... -2.711 eV per atom
Total magnetic moment ... 3.7 μB/f.u.

Compound: Sc6P2S
Source: Alexandria via LeMat-Bulk
Functional: PBE
Structure: optimized geometry

Lattice parameters (Å, degrees): 5.998 6.866 10.461 90.00 123.91 90.00
Positions (direct):
Sc 0.090 0.185 0.440
Sc 0.090 0.315 0.940
Sc 0.285 0.668 0.440
Sc 0.285 0.832 0.940
Sc 0.400 0.040 0.237
Sc 0.400 0.460 0.737
Sc 0.600 0.540 0.263
Sc 0.600 0.960 0.763
Sc 0.715 0.168 0.060
Sc 0.715 0.332 0.560
Sc 0.910 0.685 0.060
Sc 0.910 0.815 0.560
P 0.185 0.125 0.742
P 0.185 0.375 0.242
P 0.815 0.625 0.758
P 0.815 0.875 0.258
S 0.500 0.000 0.500
S 0.500 0.500 0.000

Output
Total magnetic moment ... 0.0 μB/f.u.
Uncorrected formation energy ... -25.41 kcal/mol of atoms

Compound: BePtAu3
Source: Alexandria via LeMat-Bulk
Functional: PBE
Structure: optimized geometry

Lattice parameters (Å, degrees): 4.380 4.380 4.380 90.00 90.00 90.00
Positions (direct):
Be 0.000 0.000 0.000
Pt 0.500 0.500 0.500
Au 0.000 0.000 0.500
Au 0.000 0.500 0.000
Au 0.500 0.000 0.000

Output
Polymorph energy (0 for the lowest one) ... 0.000 eV per formula unit
Total magnetic moment ... 0.0 μB/f.u.

Compound: CsRb4Hg
Source: Alexandria via LeMat-Bulk
Functional: PBE
Structure: optimized geometry

Lattice parameters (Å, degrees): 13.000 13.000 8.334 108.31 108.31 45.00
Positions (direct):
Cs 0.204 0.204 0.202
Cs 0.796 0.796 0.798
Rb 0.137 0.650 0.392
Rb 0.232 0.768 0.000
Rb 0.337 0.337 0.833
Rb 0.350 0.863 0.608
Rb 0.650 0.137 0.392
Rb 0.663 0.663 0.167
Rb 0.768 0.232 0.000
Rb 0.863 0.350 0.608
Hg 0.498 0.498 0.683
Hg 0.502 0.502 0.317

Output
Polymorph energy (0 for the lowest one) ... 0.000 eV per formula unit
Total magnetic moment ... 0.0 μB/f.u.

Compound: GaHgS3
Source: Alexandria via LeMat-Bulk
Functional: PBE
Structure: optimized geometry

Lattice parameters (Å, degrees): 4.751 4.751 4.751 90.00 90.00 90.00
Positions (direct):
Ga 0.000 0.000 0.000
Hg 0.500 0.500 0.500
S 0.000 0.000 0.500
S 0.000 0.500 0.000
S 0.500 0.000 0.000

Output
Polymorph energy (0 for the lowest one) ... 2.850 eV per formula unit
Total magnetic moment ... 0.0 μB/f.u.
Uncorrected formation energy ... 8.95 kcal/mol of atoms

Compound: CeNb2CrC4
Source: Alexandria via LeMat-Bulk
Functional: PBE
Structure: optimized geometry

Lattice parameters (Å, degrees): 5.852 5.852 10.965 90.00 90.00 147.82
Positions (direct):
Ce 0.100 0.900 0.750
Ce 0.900 0.100 0.250
Nb 0.371 0.629 0.542
Nb 0.371 0.629 0.958
Nb 0.629 0.371 0.042
Nb 0.629 0.371 0.458
Cr 0.165 0.835 0.250
Cr 0.835 0.165 0.750
C 0.000 0.000 0.000
C 0.000 0.000 0.500
C 0.264 0.736 0.117
C 0.264 0.736 0.383
C 0.428 0.572 0.750
C 0.572 0.428 0.250
C 0.736 0.264 0.617
C 0.736 0.264 0.883

Output
Final energy ... -9.395 eV per atom
Total magnetic moment ... 0.0 μB/f.u.

Compound: SbPbI2Br
Source: Alexandria via LeMat-Bulk
Functional: PBE
Structure: optimized geometry

Lattice parameters (Å, degrees): 5.713 5.713 5.952 90.00 90.00 90.00
Positions (direct):
Sb 0.000 0.000 0.000
Pb 0.500 0.500 0.000
I 0.000 0.500 0.500
I 0.500 0.000 0.500
Br 0.000 0.000 0.500

Output
Polymorph energy (0 for the lowest one) ... 0.913 eV per formula unit
Total magnetic moment ... 0.0 μB/f.u.
Uncorrected formation energy ... 11.12 kcal/mol of atoms